Below is Cd2PdF after structural relaxation, with properties calculated at the PBE-GGA level.

Output
Energy relative to the lowest polymorph listed for this composition, meV per atom: 0
Space-group type: No. 122
Mass density, g/cm3: 7.98
Formation energy without anion corrections, eV/f.u.: -3.02

a b c (Å): 6.861 6.861 6.192
angles (deg): 90.00 90.00 90.00
Fractional positions:
Cd  0.211  0.250  0.125
Cd  0.250  0.711  0.375
Cd  0.250  0.789  0.875
Cd  0.289  0.250  0.625
Cd  0.711  0.750  0.625
Cd  0.750  0.211  0.875
Cd  0.750  0.289  0.375
Cd  0.789  0.750  0.125
Pd  0.000  0.000  0.500
Pd  0.000  0.500  0.750
Pd  0.500  0.000  0.250
Pd  0.500  0.500  0.000
F  0.000  0.000  0.000
F  0.000  0.500  0.250
F  0.500  0.000  0.750
F  0.500  0.500  0.500

=====

Below is HfTcGe4 after structural relaxation, with properties calculated at the PBE-GGA level.

Output
Space-group type: No. 14
Mass density, g/cm3: 8.63
Calculated formation energy, eV per atom: -0.154

a b c (Å): 5.656 6.218 6.208
angles (deg): 90.00 90.06 90.00
Fractional positions:
Hf  0.000  0.000  0.000
Hf  0.000  0.500  0.500
Tc  0.500  0.000  0.000
Tc  0.500  0.500  0.500
Ge  0.276  0.147  0.647
Ge  0.276  0.353  0.147
Ge  0.276  0.648  0.853
Ge  0.276  0.852  0.353
Ge  0.724  0.148  0.647
Ge  0.724  0.352  0.147
Ge  0.724  0.647  0.853
Ge  0.724  0.853  0.353

=====

Below is Pm4CoTeCl2 after structural relaxation, with properties calculated at the PBE-GGA level.

Output
Space-group type: No. 10
Mass density, g/cm3: 6.29
Formation energy without anion corrections, eV/f.u.: -8.75

a b c (Å): 7.392 4.030 7.879
angles (deg): 90.00 109.68 90.00
Fractional positions:
Pm  0.208  0.000  0.206
Pm  0.238  0.500  0.795
Pm  0.762  0.500  0.205
Pm  0.792  0.000  0.794
Co  0.000  0.500  0.000
Te  0.000  0.000  0.500
Cl  0.500  0.000  0.000
Cl  0.500  0.500  0.500

=====

Below is PrHo3Al2 after structural relaxation, with properties calculated at the PBE-GGA level.

Output
Energy relative to the lowest polymorph listed for this composition, meV per atom: 74
Space-group type: No. 12
Mass density, g/cm3: 6.99
Calculated formation energy, eV per atom: -0.184

a b c (Å): 8.374 8.374 8.955
angles (deg): 116.96 116.96 36.46
Fractional positions:
Pr  0.132  0.132  0.183
Pr  0.868  0.868  0.817
Ho  0.062  0.062  0.716
Ho  0.312  0.312  0.009
Ho  0.383  0.383  0.470
Ho  0.617  0.617  0.530
Ho  0.688  0.688  0.991
Ho  0.938  0.938  0.284
Al  0.230  0.230  0.602
Al  0.480  0.480  0.843
Al  0.520  0.520  0.157
Al  0.770  0.770  0.398

=====

Magnetization for the records above, in order: 0.000 0.000 0.000 0.026 Bohr magnetons per cell
Fermi-level density of states for the records above, in order: 3.1 6.0 5.5 11.9 states/eV/cell